# Pr3Ho5S8

A relaxed Pr3Ho5S8 crystal (PBE, the Alexandria database).

a b c (Å): 7.887 7.887 7.996
angles (deg): 60.45 60.45 60.00
Positions (direct):
1 S 0.250 0.736 0.765
2 S 0.257 0.257 0.229
3 S 0.250 0.250 0.765
4 S 0.743 0.743 0.771
5 S 0.736 0.250 0.765
6 S 0.750 0.264 0.235
7 S 0.264 0.750 0.235
8 S 0.750 0.750 0.235
9 Pr 0.500 0.000 0.500
10 Pr 0.000 0.500 0.500
11 Pr 0.000 0.000 0.500
12 Ho 0.500 0.000 0.000
13 Ho 0.500 0.500 0.000
14 Ho 0.000 0.000 0.000
15 Ho 0.000 0.500 0.000
16 Ho 0.500 0.500 0.500

---

# Pr2HoScS6

A relaxed Pr2HoScS6 crystal (PBE, the Alexandria database).

a b c (Å): 6.641 7.285 9.823
angles (deg): 90.00 89.26 90.00
Positions (direct):
1 S 0.327 0.692 0.068
2 S 0.364 0.955 0.757
3 S 0.864 0.545 0.257
4 S 0.314 0.683 0.433
5 S 0.136 0.455 0.743
6 S 0.636 0.045 0.243
7 S 0.827 0.808 0.568
8 S 0.814 0.817 0.933
9 S 0.686 0.317 0.567
10 S 0.186 0.183 0.067
11 S 0.673 0.308 0.932
12 S 0.173 0.192 0.432
13 Ho 0.500 0.000 0.500
14 Ho 0.000 0.500 0.000
15 Sc 0.000 0.500 0.500
16 Sc 0.500 0.000 0.000
17 Pr 0.963 0.095 0.748
18 Pr 0.037 0.905 0.252
19 Pr 0.537 0.595 0.752
20 Pr 0.463 0.405 0.248

---

# Pr3Ho2ScS6

A relaxed Pr3Ho2ScS6 crystal (PBE, the Alexandria database).

a b c (Å): 6.791 6.791 7.015
angles (deg): 99.30 99.30 120.15
Positions (direct):
1 Pr 0.831 0.169 0.500
2 Pr 0.169 0.831 0.500
3 Pr 0.500 0.500 0.500
4 S 0.399 0.074 0.223
5 S 0.601 0.926 0.777
6 S 0.074 0.399 0.223
7 S 0.750 0.750 0.226
8 S 0.250 0.250 0.774
9 S 0.926 0.601 0.777
10 Ho 0.666 0.334 0.000
11 Ho 0.334 0.666 0.000
12 Sc 0.000 0.000 0.000

---

# Pr3Ho3ScS8

A relaxed Pr3Ho3ScS8 crystal (PBE, the Alexandria database).

a b c (Å): 7.865 7.865 8.005
angles (deg): 119.42 90.00 120.00
Positions (direct):
1 S 0.761 0.523 0.274
2 S 0.743 0.487 0.730
3 S 0.251 0.013 0.274
4 S 0.749 0.987 0.726
5 S 0.239 0.987 0.726
6 S 0.761 0.013 0.274
7 S 0.239 0.477 0.726
8 S 0.257 0.513 0.270
9 Sc 0.000 0.000 0.500
10 Pr 0.500 0.500 0.000
11 Pr 0.000 0.000 0.000
12 Pr 0.000 0.500 0.000
13 Ho 0.500 0.000 0.500
14 Ho 0.000 0.500 0.500
15 Ho 0.500 0.500 0.500

---

# PrHo2ScS6

A relaxed PrHo2ScS6 crystal (PBE, the Alexandria database).

a b c (Å): 6.877 6.877 7.297
angles (deg): 61.88 61.88 59.99
Positions (direct):
1 Sc 0.320 0.320 0.039
2 S 0.394 0.713 0.755
3 S 0.223 0.934 0.246
4 S 0.713 0.138 0.755
5 S 0.934 0.597 0.246
6 S 0.597 0.223 0.246
7 S 0.138 0.394 0.755
8 Ho 0.013 0.013 0.962
9 Ho 0.520 0.520 0.440
10 Pr 0.809 0.809 0.573

---

# PrSm2HoS6

A relaxed PrSm2HoS6 crystal (PBE, the Alexandria database).

a b c (Å): 7.083 7.083 7.474
angles (deg): 61.71 61.71 60.00
Positions (direct):
1 Sm 0.521 0.521 0.438
2 Sm 0.017 0.017 0.949
3 S 0.128 0.408 0.754
4 S 0.608 0.215 0.250
5 S 0.927 0.608 0.250
6 S 0.408 0.711 0.754
7 S 0.215 0.927 0.250
8 S 0.711 0.128 0.754
9 Ho 0.317 0.317 0.050
10 Pr 0.811 0.811 0.567

---

# Pr4SmHoS8

A relaxed Pr4SmHoS8 crystal (PBE, the Alexandria database).

a b c (Å): 8.330 8.330 8.315
angles (deg): 59.94 59.94 60.00
Site moments in Bohr magnetons follow the coordinates.
Positions (direct):
1 Sm 0.002 0.002 0.994  0.06
2 S 0.222 0.762 0.254  0.00
3 S 0.244 0.759 0.753  0.00
4 S 0.762 0.222 0.254  0.00
5 S 0.758 0.758 0.725  0.00
6 S 0.762 0.762 0.254  0.00
7 S 0.759 0.244 0.753  0.00
8 S 0.244 0.244 0.753  0.00
9 S 0.248 0.248 0.255  0.00
10 Ho 0.375 0.375 0.874  0.08
11 Pr 0.002 0.493 0.502  0.06
12 Pr 0.625 0.625 0.126  0.03
13 Pr 0.493 0.002 0.502  0.06
14 Pr 0.002 0.002 0.502  0.06

---

# Pr3SmHo3S8

A relaxed Pr3SmHo3S8 crystal (PBE, the Alexandria database).

a b c (Å): 7.931 7.931 8.030
angles (deg): 119.59 90.00 120.00
Positions (direct):
1 Ho 0.000 0.500 0.500
2 Ho 0.500 0.500 0.500
3 Ho 0.500 0.000 0.500
4 S 0.749 0.013 0.262
5 S 0.251 0.987 0.738
6 S 0.251 0.502 0.738
7 S 0.743 0.487 0.730
8 S 0.749 0.498 0.262
9 S 0.736 0.987 0.738
10 S 0.264 0.013 0.262
11 S 0.257 0.513 0.270
12 Pr 0.000 0.500 0.000
13 Pr 0.000 0.000 0.000
14 Pr 0.500 0.500 0.000
15 Sm 0.000 0.000 0.500

---

# PrSmHoS3

A relaxed PrSmHoS3 crystal (PBE, the Alexandria database).

a b c (Å): 3.914 6.921 10.444
angles (deg): 102.52 90.00 90.00
Positions (direct):
1 S 0.250 0.720 0.504
2 S 0.750 0.051 0.152
3 S 0.750 0.546 0.155
4 S 0.250 0.454 0.845
5 S 0.250 0.949 0.848
6 S 0.750 0.280 0.496
7 Pr 0.750 0.654 0.697
8 Pr 0.250 0.346 0.303
9 Sm 0.250 0.126 0.632
10 Sm 0.750 0.874 0.368
11 Ho 0.750 0.233 0.945
12 Ho 0.250 0.767 0.055

---

# Pr2SmHoS6

A relaxed Pr2SmHoS6 crystal (PBE, the Alexandria database).

a b c (Å): 7.128 7.128 7.480
angles (deg): 61.54 61.54 60.00
Positions (direct):
1 S 0.203 0.938 0.256
2 S 0.114 0.428 0.759
3 S 0.699 0.114 0.759
4 S 0.604 0.203 0.256
5 S 0.938 0.604 0.256
6 S 0.428 0.699 0.759
7 Sm 0.814 0.814 0.557
8 Pr 0.523 0.523 0.430
9 Pr 0.022 0.022 0.935
10 Ho 0.317 0.317 0.050

---

# PrSmHo4S8

A relaxed PrSmHo4S8 crystal (PBE, the Alexandria database).

a b c (Å): 8.087 8.087 8.138
angles (deg): 60.21 60.21 60.00
Positions (direct):
1 S 0.243 0.783 0.730
2 S 0.237 0.237 0.289
3 S 0.752 0.232 0.264
4 S 0.758 0.758 0.727
5 S 0.243 0.243 0.730
6 S 0.232 0.752 0.264
7 S 0.783 0.243 0.730
8 S 0.752 0.752 0.264
9 Ho 0.999 0.999 0.499
10 Ho 0.626 0.626 0.123
11 Ho 0.999 0.503 0.499
12 Ho 0.503 0.999 0.499
13 Sm 0.999 0.999 0.002
14 Pr 0.374 0.374 0.878

---

# Pr3SmHo2S6

A relaxed Pr3SmHo2S6 crystal (PBE, the Alexandria database).

a b c (Å): 6.917 6.917 7.035
angles (deg): 99.42 99.42 120.15
Positions (direct):
1 Pr 0.163 0.837 0.500
2 Pr 0.500 0.500 0.500
3 Pr 0.837 0.163 0.500
4 S 0.922 0.582 0.766
5 S 0.736 0.736 0.231
6 S 0.418 0.078 0.234
7 S 0.264 0.264 0.769
8 S 0.078 0.418 0.234
9 S 0.582 0.922 0.766
10 Sm 0.000 0.000 0.000
11 Ho 0.334 0.666 0.000
12 Ho 0.666 0.334 0.000

---

ΔE_f (raw) values, unit meV/atom, following the record order: -1986; -2030; -1977; -2026; -1982; -2026; -1903; -2038; -1917; -2023; -1920; -2013.
Total DFT energy (no corrections) values, unit eV per formula unit, following the record order: -102.028; -65.537; -78.317; -97.806; -64.856; -63.825; -88.074; -96.386; -37.961; -63.849; -87.716; -77.130.